# BaBSe PBE-GGA relaxed
# - mass density (kg/m³) = 4513
# - total energy (eV for the cell shown) = -57.79
data_BaBSe
_symmetry_space_group_name_H-M 'P 1 21/c 1'
_symmetry_Int_Tables_number 14
_symmetry_space_group_name_Hall '-P 2ybc'
_cell_length_a 7.912
_cell_length_b 4.992
_cell_length_c 8.840
_cell_angle_alpha 90.00
_cell_angle_beta 106.79
_cell_angle_gamma 90.00
loop_
_atom_site_label
_atom_site_fract_x
_atom_site_fract_y
_atom_site_fract_z
Ba1 0.244 0.247 0.316
B1 0.069 0.607 0.019
Se1 0.310 0.746 0.584